Version a
The following is a DFT calculation (PBE) of a geometry-optimized La6CdIn3 structure.

Structure (POSCAR):
```
La6CdIn3
1.0
-2.089 -7.033 4.869
-0.039 -4.771 -6.910
8.979 -1.221 0.792
La In Cd
12 6 2
direct
0.231 0.611 0.729 La
0.184 0.319 0.417 La
0.316 0.819 0.083 La
0.816 0.681 0.583 La
0.731 0.889 0.229 La
0.269 0.111 0.771 La
0.857 0.636 0.942 La
0.769 0.389 0.271 La
0.684 0.181 0.917 La
0.143 0.364 0.058 La
0.643 0.136 0.558 La
0.357 0.864 0.442 La
0.500 0.500 0.000 In
0.000 0.000 0.500 In
0.453 0.167 0.205 In
0.953 0.333 0.705 In
0.547 0.833 0.795 In
0.047 0.667 0.295 In
0.500 0.500 0.500 Cd
0.000 0.000 0.000 Cd
```

Calculated values
DOS at the Fermi energy: 9.8 states/eV/f.u.
size of the total moment: 0.000 μB/cell
crystal system: monoclinic

=====

Version b
The following is a DFT calculation (PBE) of a geometry-optimized La6CdIn3 structure.

Structure (POSCAR):
```
La6CdIn3
1.0
5.528 0.000 0.000
0.000 9.324 -3.036
0.000 0.107 12.228
La In Cd
12 6 2
direct
0.250 0.844 0.300 La
0.750 0.874 0.854 La
0.750 0.340 0.323 La
0.750 0.156 0.700 La
0.250 0.660 0.677 La
0.750 0.540 0.916 La
0.250 0.258 0.497 La
0.750 0.742 0.503 La
0.250 0.460 0.084 La
0.750 0.916 0.121 La
0.250 0.126 0.146 La
0.250 0.084 0.879 La
0.250 0.768 0.975 In
0.750 0.461 0.623 In
0.250 0.372 0.782 In
0.750 0.232 0.025 In
0.250 0.539 0.377 In
0.750 0.628 0.218 In
0.750 0.037 0.409 Cd
0.250 0.963 0.591 Cd
```

Calculated values
DOS at the Fermi energy: 10.1 states/eV/f.u.
size of the total moment: 0.000 μB/cell
crystal system: monoclinic

=====

Energies relative to the minimum, eV/atom: version a 0.151; version b 0.000

=====

Version a
The following is a DFT calculation (PBE) of a geometry-optimized La3Cd4In4 structure.

Structure (POSCAR):
```
La3Cd4In4
1.0
0.366 4.845 -0.230
-4.723 0.070 -6.032
-4.154 -1.743 8.098
Cd La In
4 3 4
direct
0.334 0.142 0.668 Cd
0.334 0.526 0.668 Cd
0.666 0.474 0.332 Cd
0.666 0.858 0.332 Cd
0.000 0.500 0.000 La
0.874 0.874 0.747 La
0.126 0.126 0.253 La
0.500 0.188 0.000 In
0.781 0.281 0.562 In
0.219 0.719 0.438 In
0.500 0.812 0.000 In
```

Calculated values
DOS at the Fermi energy: 5.8 states/eV/f.u.
size of the total moment: 0.000 μB/cell
crystal system: orthorhombic

=====

Version b
The following is a DFT calculation (PBE) of a geometry-optimized La3Cd4In4 structure.

Structure (POSCAR):
```
La3Cd4In4
1.0
3.964 0.000 0.002
0.000 4.991 0.020
1.970 2.530 15.250
Cd La In
4 3 4
direct
0.406 0.904 0.187 Cd
0.260 0.255 0.481 Cd
0.740 0.745 0.519 Cd
0.594 0.096 0.813 Cd
0.857 0.353 0.286 La
0.143 0.647 0.714 La
0.000 0.000 0.000 La
0.548 0.549 0.904 In
0.452 0.451 0.096 In
0.313 0.808 0.373 In
0.687 0.192 0.627 In
```

Calculated values
DOS at the Fermi energy: 6.3 states/eV/f.u.
size of the total moment: 0.000 μB/cell
crystal system: monoclinic

=====

Energies relative to the minimum, eV/atom: version a 0.000; version b 0.034

=====

Version a
The following is a DFT calculation (PBE) of a geometry-optimized LaCdIn2Ni structure.

Structure (POSCAR):
```
LaCdIn2Ni
1.0
-3.511 3.389 -0.898
-3.344 -2.856 2.298
1.062 2.251 4.343
Ni La In Cd
1 1 2 1
direct
0.000 0.000 0.000 Ni
0.500 0.500 0.500 La
0.000 0.500 0.000 In
0.500 0.000 0.000 In
0.000 0.000 0.500 Cd
```

Calculated values
DOS at the Fermi energy: 3.7 states/eV/f.u.
size of the total moment: 0.000 μB/cell
crystal system: tetragonal

=====

Version b
The following is a DFT calculation (PBE) of a geometry-optimized LaCdIn2Ni structure.

Structure (POSCAR):
```
LaCdIn2Ni
1.0
-2.737 2.005 -3.739
3.241 -1.884 -3.383
-2.781 -4.300 -0.270
Ni In La Cd
1 2 1 1
direct
0.000 0.000 0.000 Ni
0.500 0.000 0.000 In
0.000 0.500 0.000 In
0.000 0.000 0.500 La
0.500 0.500 0.500 Cd
```

Calculated values
DOS at the Fermi energy: 4.1 states/eV/f.u.
size of the total moment: 0.000 μB/cell
crystal system: tetragonal

=====

Energies relative to the minimum, eV/atom: version a 0.012; version b 0.000

=====

Version a
The following is a DFT calculation (PBE) of a geometry-optimized La2CdInRh structure.

Structure (POSCAR):
```
La2CdInRh
1.0
-5.327 0.231 1.209
-0.996 -3.963 -3.633
0.689 -3.584 3.720
Cd Rh La In
1 1 2 1
direct
0.500 0.500 0.500 Cd
0.000 0.000 0.000 Rh
0.000 0.500 0.000 La
0.500 0.000 0.000 La
0.000 0.000 0.500 In
```

Calculated values
DOS at the Fermi energy: 5.8 states/eV/f.u.
size of the total moment: 0.000 μB/cell
crystal system: tetragonal

=====

Version b
The following is a DFT calculation (PBE) of a geometry-optimized La2CdInRh structure.

Structure (POSCAR):
```
La2CdInRh
1.0
-2.379 4.804 0.771
0.020 -0.849 5.349
4.727 2.286 0.345
Rh La In Cd
1 2 1 1
direct
0.000 0.000 0.000 Rh
0.000 0.500 0.000 La
0.500 0.000 0.000 La
0.500 0.500 0.500 In
0.000 0.000 0.500 Cd
```

Calculated values
DOS at the Fermi energy: 3.5 states/eV/f.u.
size of the total moment: 0.000 μB/cell
crystal system: tetragonal

=====

Energies relative to the minimum, eV/atom: version a 0.000; version b 0.019

=====

Version a
The following is a DFT calculation (PBE) of a geometry-optimized LaTlCdIn structure.

Structure (POSCAR):
```
LaTlCdIn
1.0
-1.565 -3.730 -3.568
2.317 -0.217 -4.867
3.288 -4.092 -1.241
La Tl Cd In
1 1 1 1
direct
0.250 0.250 0.250 La
0.000 0.000 0.000 Tl
0.750 0.750 0.750 Cd
0.500 0.500 0.500 In
```

Calculated values
DOS at the Fermi energy: 3.7 states/eV/f.u.
size of the total moment: 0.000 μB/cell
crystal system: cubic

=====

Version b
The following is a DFT calculation (PBE) of a geometry-optimized LaTlCdIn structure.

Structure (POSCAR):
```
LaTlCdIn
1.0
-0.615 -0.710 4.747
4.431 -1.654 0.327
1.605 4.473 0.877
In Cd Tl La
1 1 1 1
direct
0.000 0.500 0.500 In
0.000 0.000 0.000 Cd
0.500 0.500 0.000 Tl
0.500 0.000 0.500 La
```

Calculated values
DOS at the Fermi energy: 2.9 states/eV/f.u.
size of the total moment: 0.000 μB/cell
crystal system: orthorhombic

=====

Energies relative to the minimum, eV/atom: version a 0.090; version b 0.000

=====

Version a
The following is a DFT calculation (PBE) of a geometry-optimized Li2CdIn2 structure.

Structure (POSCAR):
```
Li2CdIn2
1.0
-2.889 2.586 0.905
-1.531 -0.433 -3.650
-6.278 -4.290 0.971
Li Cd In
2 1 2
direct
0.250 0.750 0.500 Li
0.750 0.250 0.500 Li
0.000 0.000 0.000 Cd
0.397 0.397 0.205 In
0.603 0.603 0.795 In
```

Calculated values
DOS at the Fermi energy: 1.7 states/eV/f.u.
size of the total moment: 0.000 μB/cell
crystal system: tetragonal

=====

Version b
The following is a DFT calculation (PBE) of a geometry-optimized Li2CdIn2 structure.

Structure (POSCAR):
```
Li2CdIn2
1.0
-6.477 -2.988 -1.812
0.073 -3.932 6.221
-1.835 2.866 1.833
Li Cd In
4 2 4
direct
0.859 0.641 0.000 Li
0.641 0.141 0.000 Li
0.141 0.359 0.000 Li
0.359 0.859 0.000 Li
0.000 0.000 0.000 Cd
0.500 0.500 0.000 Cd
0.341 0.159 0.500 In
0.841 0.341 0.500 In
0.159 0.659 0.500 In
0.659 0.841 0.500 In
```

Calculated values
DOS at the Fermi energy: 2.2 states/eV/f.u.
size of the total moment: 0.000 μB/cell
crystal system: tetragonal

=====

Version c
The following is a DFT calculation (PBE) of a geometry-optimized Li2CdIn2 structure.

Structure (POSCAR):
```
Li2CdIn2
1.0
-1.042 7.709 -1.906
-6.018 -2.021 -4.884
-2.142 0.329 2.503
Li In Cd
4 4 2
direct
0.667 0.833 0.500 Li
0.167 0.667 0.500 Li
0.833 0.333 0.500 Li
0.333 0.167 0.500 Li
0.866 0.634 0.000 In
0.634 0.134 0.000 In
0.134 0.366 0.000 In
0.366 0.866 0.000 In
0.000 0.000 0.000 Cd
0.500 0.500 0.000 Cd
```

Calculated values
DOS at the Fermi energy: 1.3 states/eV/f.u.
size of the total moment: 0.000 μB/cell
crystal system: tetragonal

=====

Version d
The following is a DFT calculation (PBE) of a geometry-optimized Li2CdIn2 structure.

Structure (POSCAR):
```
Li2CdIn2
1.0
-4.211 0.487 -2.598
-6.907 2.543 6.916
-7.261 7.313 8.384
In Cd Li
4 2 4
direct
0.397 0.987 0.631 In
0.603 0.013 0.369 In
0.984 0.487 0.131 In
0.016 0.513 0.869 In
0.208 0.750 0.250 Cd
0.792 0.250 0.750 Cd
0.387 0.877 0.936 Li
0.800 0.377 0.436 Li
0.200 0.623 0.564 Li
0.613 0.123 0.064 Li
```

Calculated values
DOS at the Fermi energy: 1.2 states/eV/f.u.
size of the total moment: 0.000 μB/cell
crystal system: monoclinic

=====

Energies relative to the minimum, eV/atom: version a 0.131; version b 0.058; version c 0.025; version d 0.000

=====

Version a
The following is a DFT calculation (PBE) of a geometry-optimized Li2Cd2In structure.

Structure (POSCAR):
```
Li2Cd2In
1.0
-2.581 3.695 1.937
-3.920 -0.852 2.612
0.517 0.622 5.715
In Cd Li
1 2 2
direct
0.500 0.500 0.000 In
0.904 0.908 0.784 Cd
0.096 0.092 0.216 Cd
0.298 0.295 0.610 Li
0.702 0.705 0.390 Li
```

Calculated values
DOS at the Fermi energy: 1.1 states/eV/f.u.
size of the total moment: 0.000 μB/cell
crystal system: monoclinic

=====

Version b
The following is a DFT calculation (PBE) of a geometry-optimized Li2Cd2In structure.

Structure (POSCAR):
```
Li2Cd2In
1.0
3.874 0.000 0.000
0.000 3.874 0.000
1.937 1.937 7.398
Li Cd In
2 2 1
direct
0.250 0.750 0.500 Li
0.750 0.250 0.500 Li
0.609 0.609 0.781 Cd
0.391 0.391 0.219 Cd
0.000 0.000 0.000 In
```

Calculated values
DOS at the Fermi energy: 2.0 states/eV/f.u.
size of the total moment: 0.000 μB/cell
crystal system: tetragonal

=====

Energies relative to the minimum, eV/atom: version a 0.000; version b 0.174

=====

Version a
The following is a DFT calculation (PBE) of a geometry-optimized Li2Cd2In structure.

Structure (POSCAR):
```
Li2Cd2In
1.0
-3.192 6.534 2.669
-7.018 -3.250 -0.436
0.325 -1.123 3.138
In Cd Li
2 4 4
direct
0.000 0.000 0.000 In
0.500 0.500 0.000 In
0.350 0.150 0.500 Cd
0.850 0.350 0.500 Cd
0.150 0.650 0.500 Cd
0.650 0.850 0.500 Cd
0.858 0.642 0.000 Li
0.642 0.142 0.000 Li
0.358 0.858 0.000 Li
0.142 0.358 0.000 Li
```

Calculated values
DOS at the Fermi energy: 1.8 states/eV/f.u.
size of the total moment: 0.000 μB/cell
crystal system: tetragonal

=====

Version b
The following is a DFT calculation (PBE) of a geometry-optimized Li2Cd2In structure.

Structure (POSCAR):
```
Li2Cd2In
1.0
-2.426 -7.036 -2.708
3.612 -3.582 6.070
-2.720 0.256 1.770
Li Cd In
4 4 2
direct
0.336 0.164 0.500 Li
0.836 0.336 0.500 Li
0.164 0.664 0.500 Li
0.664 0.836 0.500 Li
0.867 0.633 0.000 Cd
0.367 0.867 0.000 Cd
0.633 0.133 0.000 Cd
0.133 0.367 0.000 Cd
0.500 0.500 0.000 In
0.000 0.000 0.000 In
```

Calculated values
DOS at the Fermi energy: 1.9 states/eV/f.u.
size of the total moment: 0.000 μB/cell
crystal system: tetragonal

=====

Energies relative to the minimum, eV/atom: version a 0.030; version b 0.000

=====

Version a
The following is a DFT calculation (PBE) of a geometry-optimized Li6Cd3In structure.

Structure (POSCAR):
```
Li6Cd3In
1.0
-7.532 -1.652 0.813
-0.588 -1.013 -7.508
1.780 -5.990 4.323
Li Cd In
12 6 2
direct
0.972 0.783 0.217 Li
0.312 0.995 0.005 Li
0.120 0.788 0.600 Li
0.620 0.212 0.400 Li
0.794 0.999 0.593 Li
0.294 0.593 0.999 Li
0.294 0.001 0.407 Li
0.620 0.600 0.788 Li
0.120 0.400 0.212 Li
0.472 0.217 0.783 Li
0.812 0.005 0.995 Li
0.794 0.407 0.001 Li
0.479 0.397 0.194 Cd
0.979 0.194 0.397 Cd
0.812 0.569 0.431 Cd
0.312 0.431 0.569 Cd
0.979 0.603 0.806 Cd
0.479 0.806 0.603 Cd
0.104 0.207 0.793 In
0.604 0.793 0.207 In
```

Calculated values
DOS at the Fermi energy: 2.6 states/eV/f.u.
size of the total moment: 0.000 μB/cell
crystal system: orthorhombic

=====

Version b
The following is a DFT calculation (PBE) of a geometry-optimized Li6Cd3In structure.

Structure (POSCAR):
```
Li6Cd3In
1.0
-2.898 3.712 0.452
-6.262 -5.058 1.380
4.133 2.156 8.799
Li Cd In
12 6 2
direct
0.250 0.252 0.503 Li
0.250 0.053 0.902 Li
0.750 0.947 0.098 Li
0.750 0.352 0.304 Li
0.250 0.148 0.201 Li
0.750 0.748 0.497 Li
0.750 0.155 0.701 Li
0.750 0.852 0.799 Li
0.750 0.547 0.898 Li
0.250 0.648 0.696 Li
0.250 0.453 0.102 Li
0.250 0.845 0.299 Li
0.750 0.249 0.003 Cd
0.250 0.352 0.804 Cd
0.750 0.454 0.600 Cd
0.250 0.751 0.997 Cd
0.250 0.546 0.400 Cd
0.750 0.648 0.196 Cd
0.750 0.049 0.400 In
0.250 0.951 0.600 In
```

Calculated values
DOS at the Fermi energy: 3.1 states/eV/f.u.
size of the total moment: 0.000 μB/cell
crystal system: monoclinic

=====

Energies relative to the minimum, eV/atom: version a 0.068; version b 0.000

=====

Version a
The following is a DFT calculation (PBE) of a geometry-optimized LiCd5In4 structure.

Structure (POSCAR):
```
LiCd5In4
1.0
5.816 0.000 0.000
2.908 6.565 0.000
2.908 0.000 6.565
Cd In Li
5 4 1
direct
0.723 0.110 0.359 Cd
0.833 0.359 0.890 Cd
0.672 0.000 0.000 Cd
0.082 0.641 0.110 Cd
0.192 0.890 0.641 Cd
0.503 0.622 0.273 In
0.398 0.378 0.727 In
0.125 0.273 0.378 In
0.776 0.727 0.622 In
0.207 0.000 0.000 Li
```

Calculated values
DOS at the Fermi energy: 3.9 states/eV/f.u.
size of the total moment: 0.000 μB/cell
crystal system: tetragonal

=====

Version b
The following is a DFT calculation (PBE) of a geometry-optimized LiCd5In4 structure.

Structure (POSCAR):
```
LiCd5In4
1.0
-0.715 6.186 -1.197
-3.376 0.946 6.906
9.077 1.858 4.183
Cd Li In
10 2 8
direct
0.000 0.500 0.192 Cd
0.242 0.688 0.733 Cd
0.758 0.688 0.733 Cd
0.258 0.812 0.267 Cd
0.500 0.000 0.808 Cd
0.242 0.312 0.733 Cd
0.742 0.812 0.267 Cd
0.758 0.312 0.733 Cd
0.742 0.188 0.267 Cd
0.258 0.188 0.267 Cd
0.500 0.500 0.238 Li
0.000 0.000 0.762 Li
0.251 0.500 0.471 In
0.000 0.800 0.997 In
0.751 0.000 0.529 In
0.749 0.500 0.471 In
0.500 0.300 0.003 In
0.000 0.200 0.997 In
0.249 0.000 0.529 In
0.500 0.700 0.003 In
```

Calculated values
DOS at the Fermi energy: 2.9 states/eV/f.u.
size of the total moment: 0.000 μB/cell
crystal system: orthorhombic

=====

Energies relative to the minimum, eV/atom: version a 0.009; version b 0.000